Record 1
Entry from Alexandria: a geometry-optimized Ta5Mo2 structure (PBEsol).

Structure (CIF):
```
data_Ta5Mo2
_chemical_formula_sum 'Ta5 Mo2'
_cell_length_a 4.5825
_cell_length_b 4.5825
_cell_length_c 6.9980
_cell_angle_alpha 70.89
_cell_angle_beta 70.89
_cell_angle_gamma 60.00
_symmetry_space_group_name_H-M 'P 1'
_symmetry_Int_Tables_number 1
loop_
_symmetry_equiv_pos_as_xyz
'x,y,z'
loop_
_atom_site_label
_atom_site_type_symbol
_atom_site_fract_x
_atom_site_fract_y
_atom_site_fract_z
_atom_site_occupancy
Ta1 Ta 0.0707 0.0707 0.7879 1
Ta2 Ta 0.9293 0.9293 0.2121 1
Mo1 Mo 0.6439 0.6439 0.0683 1
Ta3 Ta 0.7844 0.7844 0.6469 1
Ta4 Ta 0.5000 0.5000 0.5000 1
Mo2 Mo 0.3561 0.3561 0.9317 1
Ta5 Ta 0.2156 0.2156 0.3531 1
```

Summary:
- energy above the most stable polymorph in this dataset (meV/atom) = 37
- formation energy (eV/atom) = -0.0532
- energy (eV/cell) = -86.7
- space group = R-3m, No. 166

---

Record 2
Entry from Alexandria: a geometry-optimized TlNi3Se structure (PBEsol).

Structure (CIF):
```
data_TlNi3Se
_chemical_formula_sum 'Tl1 Ni3 Se1'
_cell_length_a 4.6533
_cell_length_b 4.6533
_cell_length_c 4.6533
_cell_angle_alpha 90.00
_cell_angle_beta 90.00
_cell_angle_gamma 90.00
_symmetry_space_group_name_H-M 'P 1'
_symmetry_Int_Tables_number 1
loop_
_symmetry_equiv_pos_as_xyz
'x,y,z'
loop_
_atom_site_label
_atom_site_type_symbol
_atom_site_fract_x
_atom_site_fract_y
_atom_site_fract_z
_atom_site_occupancy
Ni1 Ni 0.5000 0.0000 0.0000 1
Tl1 Tl 0.0000 0.0000 0.0000 1
Se1 Se 0.5000 0.5000 0.5000 1
Ni2 Ni 0.0000 0.5000 0.0000 1
Ni3 Ni 0.0000 0.0000 0.5000 1
```

Summary:
- uncorrected formation energy (eV per atom) = 1.38
- energy (eV/cell) = -18.0
- space group = Pm-3m, No. 221

---

Record 3
Entry from Alexandria: a geometry-optimized TcOs2Cl structure (PBEsol).

Structure (CIF):
```
data_TcOs2Cl
_chemical_formula_sum 'Tc1 Os2 Cl1'
_cell_length_a 2.8210
_cell_length_b 4.4497
_cell_length_c 5.1271
_cell_angle_alpha 115.72
_cell_angle_beta 105.97
_cell_angle_gamma 90.00
_symmetry_space_group_name_H-M 'P 1'
_symmetry_Int_Tables_number 1
loop_
_symmetry_equiv_pos_as_xyz
'x,y,z'
loop_
_atom_site_label
_atom_site_type_symbol
_atom_site_fract_x
_atom_site_fract_y
_atom_site_fract_z
_atom_site_occupancy
Os1 Os 0.9826 0.9826 0.9653 1
Tc1 Tc 0.5234 0.5234 0.0467 1
Cl1 Cl 0.2450 0.7450 0.4899 1
Os2 Os 0.7491 0.2491 0.4981 1
```

Summary:
- uncorrected formation energy (eV per atom) = 0.92
- energy above the most stable polymorph in this dataset (meV/atom) = 263
- energy (eV/cell) = -34.0
- space group = Imm2, No. 44

---

Record 4
Entry from Alexandria: a geometry-optimized MnCo3 structure (PBEsol).

Structure (CIF):
```
data_MnCo3
_chemical_formula_sum 'Mn1 Co3'
_cell_length_a 3.4357
_cell_length_b 3.4357
_cell_length_c 3.4357
_cell_angle_alpha 90.00
_cell_angle_beta 90.00
_cell_angle_gamma 90.00
_symmetry_space_group_name_H-M 'P 1'
_symmetry_Int_Tables_number 1
loop_
_symmetry_equiv_pos_as_xyz
'x,y,z'
loop_
_atom_site_label
_atom_site_type_symbol
_atom_site_fract_x
_atom_site_fract_y
_atom_site_fract_z
_atom_site_occupancy
Co1 Co 0.5000 0.0000 0.0000 1
Mn1 Mn 0.5000 0.5000 0.5000 1
Co2 Co 0.0000 0.0000 0.5000 1
Co3 Co 0.0000 0.5000 0.0000 1
```

Summary:
- formation energy (eV/atom) = 0.0374
- energy (eV/cell) = -32.8
- space group = Pm-3m, No. 221